# AcAs2H2Pt6 PBE optimized geometry
# Final energy (eV/atom): -5.56
# M_tot (μB/f.u.): 0.0
data_AcAs2H2Pt6
_symmetry_space_group_name_H-M 'P -1'
_symmetry_Int_Tables_number 2
_cell_length_a 5.711
_cell_length_b 6.334
_cell_length_c 6.426
_cell_angle_alpha 110.06
_cell_angle_beta 90.11
_cell_angle_gamma 116.71
loop_
_symmetry_equiv_pos_as_xyz
'x,y,z'
'-x,-y,-z'
loop_
_atom_site_label
_atom_site_type_symbol
_atom_site_fract_x
_atom_site_fract_y
_atom_site_fract_z
Ac1 Ac 0.000 0.000 0.000
As1 As 0.299 0.598 0.741
H1 H 0.318 0.640 0.263
Pt1 Pt 0.127 0.759 0.495
Pt2 Pt 0.368 0.240 0.504
Pt3 Pt 0.426 0.853 0.133